## K3HfCr (PBE)

Data for a geometry-optimized K3HfCr structure.

The energy above the most stable polymorph in this dataset comes out at 0.48 eV/f.u. As for the crystal system: cubic. Its energy of formation from the pure elements is 1.7155 eV per atom.

The space group is Pm-3m (No. 221) and the conventional cell measures 6.719, 6.719 and 6.719 Å, with angles of 90.00, 90.00 and 90.00 degrees. The inequivalent atoms are K at (0.000, 0.000, 0.500), Hf at (0.000, 0.000, 0.000) and Cr at (0.500, 0.500, 0.500).

## SmPaRu4 (PBE)

Data for a geometry-optimized SmPaRu4 structure.

As for the crystal system: cubic. Its energy of formation from the pure elements is -0.2432 eV per atom.

The space group is F-43m (No. 216) and the conventional cell measures 7.573, 7.573 and 7.573 Å, with angles of 90.00, 90.00 and 90.00 degrees. The inequivalent atoms are Sm at (0.000, 0.000, 0.000), Pa at (0.250, 0.250, 0.750) and Ru at (0.125, 0.125, 0.375).

## Ag2IrSe (PBE)

Data for a geometry-optimized Ag2IrSe structure.

As for the crystal system: orthorhombic.

The space group is Amm2 (No. 38) and the conventional cell measures 4.358, 2.949 and 10.997 Å, with angles of 90.00, 90.00 and 90.00 degrees. The inequivalent atoms are Ag at (0.000, 0.000, 0.000), Ag at (0.500, 0.000, 0.374), Ir at (0.500, 0.000, 0.633) and Se at (0.000, 0.000, 0.731).

## ZnPd6 (PBE)

Data for a geometry-optimized ZnPd6 structure.

As for the crystal system: trigonal. Its energy of formation from the pure elements is -0.1305 eV per atom.

The space group is R-3m (No. 166, hexagonal axes) and the conventional cell measures 4.4197, 4.4197 and 18.9767 Å, with angles of 90.00, 90.00 and 120.00 degrees. The inequivalent atoms are Zn at (0.0000, 0.0000, 0.0000), Pd at (0.0000, 0.0000, 0.1404), Pd at (0.0000, 0.0000, 0.2878) and Pd at (0.0000, 0.0000, 0.4296).

## BaYN3 (PBE)

Data for a geometry-optimized BaYN3 structure.

As for the crystal system: cubic.

The space group is Pm-3m (No. 221) and the conventional cell measures 4.418, 4.418 and 4.418 Å, with angles of 90.00, 90.00 and 90.00 degrees. The inequivalent atoms are Ba at (0.000, 0.000, 0.000), Y at (0.500, 0.500, 0.500) and N at (0.000, 0.000, 0.500).

## Cs2TePt (PBE)

Data for a geometry-optimized Cs2TePt structure.

The energy above the most stable polymorph in this dataset comes out at 2.39 eV/f.u. As for the crystal system: cubic.

The space group is Fm-3m (No. 225) and the conventional cell measures 8.768, 8.768 and 8.768 Å, with angles of 90.00, 90.00 and 90.00 degrees. The inequivalent atoms are Cs at (0.250, 0.250, 0.250), Te at (0.000, 0.000, 0.000) and Pt at (0.000, 0.000, 0.500).

## SrZrGe2N (PBE)

Data for a geometry-optimized SrZrGe2N structure.

As for the crystal system: tetragonal.

The space group is P4/mmm (No. 123) and the conventional cell measures 4.587, 4.587 and 4.668 Å, with angles of 90.00, 90.00 and 90.00 degrees. The inequivalent atoms are Sr at (0.000, 0.000, 0.000), Zr at (0.500, 0.500, 0.000), Ge at (0.000, 0.500, 0.500) and N at (0.000, 0.000, 0.500).

## Tb8CSe3N3 (PBE)

Data for a geometry-optimized Tb8CSe3N3 structure.

As for the crystal system: monoclinic.

The space group is C2/m (No. 12) and the conventional cell measures 12.721, 7.355 and 7.785 Å, with angles of 90.00, 122.98 and 90.00 degrees. The inequivalent atoms are Tb at (0.016, 0.247, 0.296), Tb at (0.232, 0.000, 0.697), Tb at (0.236, 0.500, 0.704), C at (0.000, 0.500, 0.500), Se at (0.000, 0.500, 0.000), Se at (0.250, 0.250, 0.000), N at (0.000, 0.000, 0.500) and N at (0.250, 0.250, 0.500).

## Be3Sb (PBE)

Data for a geometry-optimized Be3Sb structure.

The energy above the most stable polymorph in this dataset comes out at 0.00 eV/f.u. As for the crystal system: monoclinic.

The space group is C2/m (No. 12) and the conventional cell measures 7.233, 3.703 and 4.232 Å, with angles of 90.00, 94.28 and 90.00 degrees. The inequivalent atoms are Be at (0.000, 0.000, 0.000), Be at (0.196, 0.500, 0.065) and Sb at (0.000, 0.500, 0.500).

## CaLaFeSn2 (PBE)

Data for a geometry-optimized CaLaFeSn2 structure.

As for the crystal system: tetragonal. Its energy of formation from the pure elements is 1.5991 eV per atom.

The space group is P4/mmm (No. 123) and the conventional cell measures 5.898, 5.898 and 6.058 Å, with angles of 90.00, 90.00 and 90.00 degrees. The inequivalent atoms are Ca at (0.000, 0.000, 0.000), La at (0.000, 0.000, 0.500), Fe at (0.500, 0.500, 0.000) and Sn at (0.000, 0.500, 0.500).

## Be2Fe5OsW2 (PBE)

Data for a geometry-optimized Be2Fe5OsW2 structure.

As for the crystal system: tetragonal. Its energy of formation from the pure elements is 0.0474 eV per atom.

The space group is P4/mbm (No. 127) and the conventional cell measures 8.479, 8.479 and 3.174 Å, with angles of 90.00, 90.00 and 90.00 degrees. The inequivalent atoms are Be at (0.117, 0.383, 0.000), Fe at (0.000, 0.500, 0.500), Fe at (0.070, 0.214, 0.500), Os at (0.000, 0.000, 0.000) and W at (0.178, 0.678, 0.000).

## CuIr2Br (PBE)

Data for a geometry-optimized CuIr2Br structure.

The energy above the most stable polymorph in this dataset comes out at 0.42 eV/f.u. As for the crystal system: monoclinic.

The space group is Cm (No. 8) and the conventional cell measures 8.439, 2.867 and 6.695 Å, with angles of 90.00, 95.55 and 90.00 degrees. The inequivalent atoms are Cu at (0.000, 0.000, 0.000), Ir at (0.028, 0.500, 0.678), Ir at (0.263, 0.000, 0.806) and Br at (0.428, 0.500, 0.340).

Total DFT energy (no corrections) values, unit eV per atom, following the record order: -2.86; -8.80; -4.24; -4.76; -5.37; -2.60; -5.20; -6.88; -3.43; -3.08; -8.64; -5.32.